Crystalline CaAgRuSe2 at its relaxed geometry, computed with PBE.

a = 5.123 Å, b = 5.123 Å, c = 4.986 Å
α = 90.00°, β = 90.00°, γ = 90.00°
Element x y z (fractional)
Ca 0.000 0.000 0.000
Ag 0.500 0.500 0.500
Ru 0.500 0.500 0.000
Se 0.000 0.500 0.500
Se 0.500 0.000 0.500

energy: -19.10 eV for the cell shown
density: 5.16 g/cm³
formation energy from raw total energies: 0.40 eV per atom
calculated volume: 131 Å³ per cell
SG: No. 123